Material: TbZnSnAu
Method: DFT, PBE
State: optimized geometry

Values from the calculation:
Space-group type = F-43m (216)
Energy of formation = -0.494 eV/atom
Mass density = 10.39 g/cm³

Unit cell a=4.9611 b=4.9611 c=4.9611 alpha=60.00 beta=60.00 gamma=60.00
Last column: nearest neighbours and their distance in Å.
Element x y z (fractional)
Tb 0.0000 0.0000 0.0000  4 Zn 3.04, 4 Au 3.04
Zn 0.7500 0.7500 0.7500  4 Tb 3.04, 4 Sn 3.04
Sn 0.5000 0.5000 0.5000  4 Zn 3.04, 4 Au 3.04
Au 0.2500 0.2500 0.2500  4 Tb 3.04, 4 Sn 3.04